Here is crystalline LaLuAg4 at its relaxed geometry from the Alexandria database. Energies are from PBE.

Properties
Formation energy from the elements: -160 meV per atom
M_tot: 0.00 μB per formula unit
DFT total energy: -3.6359 eV per atom

abc: 5.760 5.760 5.760
angles: 60.00 60.00 60.00
Atoms (fractional coordinates):
Lu  0.000  0.000  0.000
Ag  0.626  0.626  0.123
Ag  0.626  0.123  0.626
Ag  0.626  0.626  0.626
Ag  0.123  0.626  0.626
La  0.250  0.250  0.250